Here is a geometry-optimized TlHgTe2 structure from the Alexandria database. Energies are from PBE.

Properties
- D(E_F) (states/eV/cell) = 5.533
- space-group type = R-3m, No. 166
- electronic total energy (eV per cell) = -25.83
- energy relative to the elements, uncorrected (eV per atom) = 0.09
- magnetic moment (Bohr magnetons per cell) = 0.00

Cell lengths 3.3066, 3.3066, 39.9199 Å; angles 90.00, 90.00, 120.00 degrees
Positions (direct):
Tl1 0.0000 0.0000 0.0000
Tl2 0.3333 0.6667 0.6667
Tl3 0.6667 0.3333 0.3333
Hg1 0.0000 0.0000 0.5000
Hg2 0.3333 0.6667 0.1667
Hg3 0.6667 0.3333 0.8333
Te1 0.0000 0.0000 0.2557
Te2 0.0000 0.0000 0.7443
Te3 0.3333 0.6667 0.4110
Te4 0.3333 0.6667 0.9224
Te5 0.6667 0.3333 0.0776
Te6 0.6667 0.3333 0.5890

Here is a geometry-optimized TlHg2Te2 structure from the Alexandria database. Energies are from PBE.

Properties
- D(E_F) (states/eV/cell) = 2.970
- space-group type = P4/mbm, No. 127
- electronic total energy (eV per cell) = -18.62
- E above lowest polymorph (meV/atom) = 95
- energy relative to the elements, uncorrected (eV per atom) = -0.01
- magnetic moment (Bohr magnetons per cell) = 0.00

Cell lengths 8.5842, 8.5842, 4.0042 Å; angles 90.00, 90.00, 90.00 degrees
Positions (direct):
Tl1 0.0000 0.0000 0.0000
Tl2 0.5000 0.5000 0.0000
Hg1 0.1252 0.3748 0.0000
Hg2 0.3748 0.8748 0.0000
Hg3 0.6252 0.1252 0.0000
Hg4 0.8748 0.6252 0.0000
Te1 0.1822 0.6822 0.5000
Te2 0.3178 0.1822 0.5000
Te3 0.6822 0.8178 0.5000
Te4 0.8178 0.3178 0.5000

Here is a geometry-optimized Tl7Hg2Te2 structure from the Alexandria database. Energies are from PBE.

Properties
- D(E_F) (states/eV/cell) = 3.823
- space-group type = Cmmm, No. 65
- electronic total energy (eV per cell) = -23.98
- energy relative to the elements, uncorrected (eV per atom) = -0.05
- magnetic moment (Bohr magnetons per cell) = 0.00

Cell lengths 7.3907, 7.3907, 7.6294 Å; angles 90.00, 90.00, 104.33 degrees
Positions (direct):
Tl1 0.0000 0.0000 0.0000
Tl2 0.0000 0.5000 0.2818
Tl3 0.0000 0.5000 0.7182
Tl4 0.5000 0.0000 0.2818
Tl5 0.5000 0.0000 0.7182
Tl6 0.5000 0.5000 0.2427
Tl7 0.5000 0.5000 0.7573
Hg1 0.2727 0.7273 0.0000
Hg2 0.7273 0.2727 0.0000
Te1 0.2217 0.2217 0.5000
Te2 0.7783 0.7783 0.5000

Here is a geometry-optimized Tl3HgTe structure from the Alexandria database. Energies are from PBE.

Properties
- D(E_F) (states/eV/cell) = 2.032
- space-group type = Pm-3m, No. 221
- electronic total energy (eV per cell) = -9.98
- E above lowest polymorph (meV/atom) = 250
- energy relative to the elements, uncorrected (eV per atom) = 0.11
- magnetic moment (Bohr magnetons per cell) = 0.00

Cell lengths 5.7203, 5.7203, 5.7203 Å; angles 90.00, 90.00, 90.00 degrees
Positions (direct):
Tl1 0.0000 0.0000 0.5000
Tl2 0.0000 0.5000 0.0000
Tl3 0.5000 0.0000 0.0000
Hg1 0.0000 0.0000 0.0000
Te1 0.5000 0.5000 0.5000

Here is a geometry-optimized TlHg2Te structure from the Alexandria database. Energies are from PBE.

Properties
- D(E_F) (states/eV/cell) = 1.756
- space-group type = P4/mmm, No. 123
- electronic total energy (eV per cell) = -5.96
- E above lowest polymorph (meV/atom) = 102
- energy relative to the elements, uncorrected (eV per atom) = 0.04
- magnetic moment (Bohr magnetons per cell) = 0.00

Cell lengths 3.6654, 3.6654, 8.6765 Å; angles 90.00, 90.00, 90.00 degrees
Positions (direct):
Tl1 0.0000 0.0000 0.0000
Hg1 0.5000 0.5000 0.2491
Hg2 0.5000 0.5000 0.7509
Te1 0.0000 0.0000 0.5000

Here is a geometry-optimized TlHg3Te structure from the Alexandria database. Energies are from PBE.

Properties
- D(E_F) (states/eV/cell) = 1.948
- space-group type = Pm-3m, No. 221
- electronic total energy (eV per cell) = -5.21
- E above lowest polymorph (meV/atom) = 317
- energy relative to the elements, uncorrected (eV per atom) = 0.24
- magnetic moment (Bohr magnetons per cell) = 0.00

Cell lengths 5.8329, 5.8329, 5.8329 Å; angles 90.00, 90.00, 90.00 degrees
Positions (direct):
Tl1 0.0000 0.0000 0.0000
Hg1 0.0000 0.5000 0.5000
Hg2 0.5000 0.0000 0.5000
Hg3 0.5000 0.5000 0.0000
Te1 0.5000 0.5000 0.5000

Here is a geometry-optimized TlHgTe2 structure from the Alexandria database. Energies are from PBE.

Properties
- D(E_F) (states/eV/cell) = 10.599
- space-group type = I-42d, No. 122
- electronic total energy (eV per cell) = -37.49
- energy relative to the elements, uncorrected (eV per atom) = -0.11
- magnetic moment (Bohr magnetons per cell) = 0.00

Cell lengths 6.9123, 6.9123, 13.8008 Å; angles 90.00, 90.00, 90.00 degrees
Positions (direct):
Tl1 0.0000 0.0000 0.0000
Tl2 0.0000 0.5000 0.2500
Tl3 0.5000 0.0000 0.7500
Tl4 0.5000 0.5000 0.5000
Hg1 0.0000 0.0000 0.5000
Hg2 0.0000 0.5000 0.7500
Hg3 0.5000 0.0000 0.2500
Hg4 0.5000 0.5000 0.0000
Te1 0.2269 0.2500 0.6250
Te2 0.2500 0.7269 0.8750
Te3 0.2500 0.7731 0.3750
Te4 0.2731 0.2500 0.1250
Te5 0.7269 0.7500 0.1250
Te6 0.7500 0.2269 0.3750
Te7 0.7500 0.2731 0.8750
Te8 0.7731 0.7500 0.6250

Here is a geometry-optimized Tl15HgTe4 structure from the Alexandria database. Energies are from PBE.

Properties
- D(E_F) (states/eV/cell) = 6.101
- space-group type = P4/mmm, No. 123
- electronic total energy (eV per cell) = -51.39
- energy relative to the elements, uncorrected (eV per atom) = -0.15
- magnetic moment (Bohr magnetons per cell) = 0.00

Cell lengths 5.0258, 5.0258, 25.3771 Å; angles 90.00, 90.00, 90.00 degrees
Positions (direct):
Tl1 0.0000 0.0000 0.0000
Tl2 0.0000 0.0000 0.1960
Tl3 0.0000 0.0000 0.3989
Tl4 0.0000 0.0000 0.6011
Tl5 0.0000 0.0000 0.8040
Tl6 0.0000 0.5000 0.0956
Tl7 0.0000 0.5000 0.2977
Tl8 0.0000 0.5000 0.5000
Tl9 0.0000 0.5000 0.7023
Tl10 0.0000 0.5000 0.9044
Tl11 0.5000 0.0000 0.0956
Tl12 0.5000 0.0000 0.2977
Tl13 0.5000 0.0000 0.5000
Tl14 0.5000 0.0000 0.7023
Tl15 0.5000 0.0000 0.9044
Hg1 0.5000 0.5000 0.0000
Te1 0.5000 0.5000 0.1980
Te2 0.5000 0.5000 0.3998
Te3 0.5000 0.5000 0.6002
Te4 0.5000 0.5000 0.8020

Here is a geometry-optimized Tl2HgTe structure from the Alexandria database. Energies are from PBE.

Properties
- D(E_F) (states/eV/cell) = 2.546
- space-group type = I-4m2, No. 119
- electronic total energy (eV per cell) = -17.41
- E above lowest polymorph (meV/atom) = 82
- energy relative to the elements, uncorrected (eV per atom) = -0.13
- magnetic moment (Bohr magnetons per cell) = 0.00

Cell lengths 4.9343, 4.9343, 10.4224 Å; angles 90.00, 90.00, 90.00 degrees
Positions (direct):
Tl1 0.0000 0.0000 0.0000
Tl2 0.0000 0.5000 0.2500
Tl3 0.5000 0.0000 0.7500
Tl4 0.5000 0.5000 0.5000
Hg1 0.0000 0.5000 0.7500
Hg2 0.5000 0.0000 0.2500
Te1 0.0000 0.0000 0.5000
Te2 0.5000 0.5000 0.0000

Here is a geometry-optimized Tl3HgTe3 structure from the Alexandria database. Energies are from PBE.

Properties
- D(E_F) (states/eV/cell) = 15.673
- space-group type = Pm-3n, No. 223
- electronic total energy (eV per cell) = -33.59
- E above lowest polymorph (meV/atom) = 193
- energy relative to the elements, uncorrected (eV per atom) = 0.00
- magnetic moment (Bohr magnetons per cell) = 0.00

Cell lengths 8.7888, 8.7888, 8.7888 Å; angles 90.00, 90.00, 90.00 degrees
Positions (direct):
Tl1 0.0000 0.2500 0.5000
Tl2 0.0000 0.7500 0.5000
Tl3 0.2500 0.5000 0.0000
Tl4 0.5000 0.0000 0.2500
Tl5 0.5000 0.0000 0.7500
Tl6 0.7500 0.5000 0.0000
Hg1 0.0000 0.0000 0.0000
Hg2 0.5000 0.5000 0.5000
Te1 0.0000 0.5000 0.2500
Te2 0.0000 0.5000 0.7500
Te3 0.2500 0.0000 0.5000
Te4 0.5000 0.2500 0.0000
Te5 0.5000 0.7500 0.0000
Te6 0.7500 0.0000 0.5000

Here is a geometry-optimized Tl7HgTe4 structure from the Alexandria database. Energies are from PBE.

Properties
- D(E_F) (states/eV/cell) = 2.028
- space-group type = Cm, No. 8
- electronic total energy (eV per cell) = -32.27
- energy relative to the elements, uncorrected (eV per atom) = -0.24
- magnetic moment (Bohr magnetons per cell) = 0.00

Cell lengths 7.3191, 7.3191, 14.0738 Å; angles 108.42, 108.42, 37.13 degrees
Positions (direct):
Tl1 0.0000 0.0000 0.0000
Tl2 0.1415 0.1415 0.2687
Tl3 0.2809 0.2809 0.7666
Tl4 0.4552 0.4552 0.2718
Tl5 0.5168 0.5168 0.5379
Tl6 0.7021 0.7021 0.0379
Tl7 0.8279 0.8279 0.5360
Hg1 0.9648 0.9648 0.7694
Te1 0.1667 0.1667 0.5072
Te2 0.3606 0.3606 0.0283
Te3 0.6086 0.6086 0.7809
Te4 0.8052 0.8052 0.3008

Here is a geometry-optimized TlHg2Te structure from the Alexandria database. Energies are from PBE.

Properties
- D(E_F) (states/eV/cell) = 2.600
- space-group type = C2, No. 5
- electronic total energy (eV per cell) = -12.73
- E above lowest polymorph (meV/atom) = 0
- energy relative to the elements, uncorrected (eV per atom) = -0.06
- magnetic moment (Bohr magnetons per cell) = 0.00

Cell lengths 7.7784, 7.7895, 5.4803 Å; angles 90.00, 133.83, 90.00 degrees
Positions (direct):
Tl1 0.0000 0.0000 0.0000
Tl2 0.5000 0.5000 0.0000
Hg1 0.0000 0.5027 0.0000
Hg2 0.0000 0.7514 0.5000
Hg3 0.5000 0.0027 0.0000
Hg4 0.5000 0.2514 0.5000
Te1 0.0000 0.2553 0.5000
Te2 0.5000 0.7553 0.5000